Entry P
Computed, not measured: a geometry-optimized Nb2CuAuS structure at the PBE-GGA level of DFT.

Geometry as POSCAR:
```
Nb2CuAuS
1.0
4.877 0.000 0.000
0.000 4.877 0.000
0.000 0.000 4.016
Nb Cu Au S
2 1 1 1
Cartesian
0.000 2.438 0.000 Nb
2.438 0.000 0.000 Nb
0.000 0.000 0.000 Cu
2.438 2.438 2.008 Au
0.000 0.000 2.008 S
```

Calculated values
- space group = P4/mmm
- total magnetization (μB per atom) = 0.262
- theoretical density (g cm⁻³) = 8.3

***

Entry Q
Computed, not measured: a geometry-optimized Nb2CuAuS structure at the PBE-GGA level of DFT.

Geometry as POSCAR:
```
Nb2CuAuS
1.0
5.057 0.000 0.000
0.000 5.057 0.000
0.000 0.000 4.708
Nb Cu Au S
2 1 1 1
Cartesian
0.000 2.529 0.000 Nb
2.529 0.000 0.000 Nb
0.000 0.000 2.354 Cu
2.529 2.529 0.000 Au
2.529 2.529 2.354 S
```

Calculated values
- space group = P4/mmm
- total magnetization (μB per atom) = 0.000
- theoretical density (g cm⁻³) = 6.6

***

It is entry P that is most stable; the runner-up trails by 719 meV per atom.

***

Entry P
Computed, not measured: a geometry-optimized Nd8Cu2Au structure at the PBE-GGA level of DFT.

Geometry as POSCAR:
```
Nd8Cu2Au
1.0
4.362 -6.818 0.000
4.362 6.818 0.000
-1.844 0.000 5.567
Nd Cu Au
8 2 1
Cartesian
0.000 0.000 0.000 Nd
0.329 1.724 3.219 Nd
2.896 3.043 1.023 Nd
0.329 -1.724 3.219 Nd
3.698 1.717 4.347 Nd
2.896 -3.043 1.023 Nd
3.698 -1.717 4.347 Nd
5.927 0.000 2.089 Nd
2.023 4.152 3.835 Cu
2.023 -4.152 3.835 Cu
2.739 0.000 1.755 Au
```

Calculated values
- space group = Cm
- total magnetization (μB per atom) = 0.000
- theoretical density (g cm⁻³) = 7.4

***

Entry Q
Computed, not measured: a geometry-optimized Nd8Cu2Au structure at the PBE-GGA level of DFT.

Geometry as POSCAR:
```
Nd8Cu2Au
1.0
9.202 -2.616 0.000
9.202 2.616 0.000
-2.063 0.000 6.667
Nd Cu Au
8 2 1
Cartesian
-0.030 0.000 1.869 Nd
1.918 0.000 5.629 Nd
4.980 0.000 3.357 Nd
7.436 0.000 0.218 Nd
8.906 0.000 6.449 Nd
11.361 0.000 3.310 Nd
14.424 0.000 1.039 Nd
16.372 0.000 4.798 Nd
2.794 0.000 1.573 Cu
13.547 0.000 5.095 Cu
8.171 0.000 3.334 Au
```

Calculated values
- space group = C2/m
- total magnetization (μB per atom) = 0.000
- theoretical density (g cm⁻³) = 7.6

***

It is entry Q that is most stable; the runner-up trails by 106 meV per atom.

***

Entry P
Computed, not measured: a geometry-optimized PmNdCuAu structure at the PBE-GGA level of DFT.

Geometry as POSCAR:
```
PmNdCuAu
1.0
0.000 3.655 3.655
3.655 0.000 3.655
3.655 3.655 0.000
Pm Nd Cu Au
1 1 1 1
Cartesian
0.000 0.000 0.000 Pm
3.655 3.655 3.655 Nd
5.482 5.482 5.482 Cu
1.827 1.827 1.827 Au
```

Calculated values
- space group = F-43m
- total magnetization (μB per atom) = 0.000
- theoretical density (g cm⁻³) = 9.3

***

Entry Q
Computed, not measured: a geometry-optimized PmNdCuAu structure at the PBE-GGA level of DFT.

Geometry as POSCAR:
```
PmNdCuAu
1.0
4.653 0.000 0.000
0.000 1.963 5.501
0.000 -1.963 5.501
Pm Nd Cu Au
1 1 1 1
Cartesian
0.000 0.000 0.000 Pm
2.326 0.000 7.933 Nd
0.000 0.000 3.129 Cu
2.326 0.000 4.800 Au
```

Calculated values
- space group = Amm2
- total magnetization (μB per atom) = 0.000
- theoretical density (g cm⁻³) = 9.1

***

It is entry Q that is most stable; the runner-up trails by 40 meV per atom.

***

Entry P
Computed, not measured: a geometry-optimized PrNdCuAu structure at the PBE-GGA level of DFT.

Geometry as POSCAR:
```
PrNdCuAu
1.0
0.000 3.681 3.681
3.681 0.000 3.681
3.681 3.681 0.000
Pr Nd Cu Au
1 1 1 1
Cartesian
0.000 0.000 0.000 Pr
3.681 3.681 3.681 Nd
5.521 5.521 5.521 Cu
1.840 1.840 1.840 Au
```

Calculated values
- space group = F-43m
- total magnetization (μB per atom) = 0.000
- theoretical density (g cm⁻³) = 9.1

***

Entry Q
Computed, not measured: a geometry-optimized PrNdCuAu structure at the PBE-GGA level of DFT.

Geometry as POSCAR:
```
PrNdCuAu
1.0
4.671 0.000 0.000
0.000 1.983 5.539
0.000 -1.983 5.539
Pr Nd Cu Au
1 1 1 1
Cartesian
0.000 0.000 0.000 Pr
2.335 0.000 7.983 Nd
2.335 0.000 4.823 Cu
0.000 0.000 3.163 Au
```

Calculated values
- space group = Amm2
- total magnetization (μB per atom) = 0.000
- theoretical density (g cm⁻³) = 8.8

***

It is entry Q that is most stable; the runner-up trails by 44 meV per atom.